The following is a DFT calculation (PBE-GGA) of crystalline DyTh2Tc at its relaxed geometry.

Calculated values
Total moment = 0.000 μB per formula unit
Total DFT energy (no corrections) = -85.57 eV per cell
Formation energy from the elements = 0.321 eV per atom
Volume = 130 Å³/f.u.

The structure in CIF format:
```
data_DyTh2Tc
_chemical_formula_sum 'Dy3 Th6 Tc3'
_cell_length_a 3.8284
_cell_length_b 3.8284
_cell_length_c 30.6706
_cell_angle_alpha 90.00
_cell_angle_beta 90.00
_cell_angle_gamma 120.00
_symmetry_space_group_name_H-M 'R -3 m'
_symmetry_Int_Tables_number 166
_symmetry_space_group_name_Hall '-R 3 2"'
loop_
_atom_site_label
_atom_site_type_symbol
_atom_site_fract_x
_atom_site_fract_y
_atom_site_fract_z
_atom_site_occupancy
Dy1 Dy 0.0000 0.0000 0.0000 1
Th1 Th 0.0000 0.0000 0.1117 1
Tc1 Tc 0.0000 0.0000 0.5000 1
```